Entry 1:
A relaxed structure of LaAl4Ir2Pt, computed with PBE.

Values from the calculation:
For the calculated formation energy, the calculation gives -832.3 meV per atom. For the mass density, the calculation gives 9.61 Mg/m³. The total moment comes out at 0.000 μB/atom.

Lattice parameters (Å, degrees): 9.414 9.414 9.414 26.15 26.15 26.15
Fractional positions:
La1 0.000 0.000 0.000
Al1 0.131 0.131 0.131
Al2 0.406 0.406 0.406
Al3 0.594 0.594 0.594
Al4 0.869 0.869 0.869
Ir1 0.230 0.230 0.230
Ir2 0.770 0.770 0.770
Pt1 0.500 0.500 0.500

Entry 2:
A relaxed structure of LaAl2IrPt2, computed with PBE.

Values from the calculation:
For the calculated formation energy, the calculation gives -731.6 meV per atom. For the mass density, the calculation gives 10.56 Mg/m³. The total moment comes out at 0.000 μB/atom.

Lattice parameters (Å, degrees): 4.678 4.678 5.573 90.00 90.00 90.00
Fractional positions:
La1 0.000 0.000 0.000
Al1 0.000 0.500 0.500
Al2 0.500 0.000 0.500
Ir1 0.000 0.000 0.500
Pt1 0.500 0.500 0.242
Pt2 0.500 0.500 0.758

Entry 3:
A relaxed structure of LaAl3IrRh, computed with PBE.

Values from the calculation:
For the calculated formation energy, the calculation gives -618.7 meV per atom. For the mass density, the calculation gives 6.79 Mg/m³. The total moment comes out at 0.000 μB/atom.

Lattice parameters (Å, degrees): 6.712 6.712 5.926 90.00 90.00 109.26
Fractional positions:
La1 0.238 0.762 0.750
La2 0.762 0.238 0.250
Al1 0.250 0.250 0.000
Al2 0.250 0.250 0.500
Al3 0.261 0.739 0.250
Al4 0.739 0.261 0.750
Al5 0.750 0.750 0.000
Al6 0.750 0.750 0.500
Ir1 0.049 0.951 0.250
Ir2 0.951 0.049 0.750
Rh1 0.468 0.532 0.250
Rh2 0.532 0.468 0.750

Entry 4:
A relaxed structure of LaAl4Ir2Rh, computed with PBE.

Values from the calculation:
For the calculated formation energy, the calculation gives -874.6 meV per atom. For the mass density, the calculation gives 8.66 Mg/m³. The total moment comes out at 0.000 μB/atom.

Lattice parameters (Å, degrees): 9.378 9.378 9.378 26.12 26.12 26.12
Fractional positions:
La1 0.000 0.000 0.000
Al1 0.134 0.134 0.134
Al2 0.408 0.408 0.408
Al3 0.592 0.592 0.592
Al4 0.866 0.866 0.866
Ir1 0.232 0.232 0.232
Ir2 0.768 0.768 0.768
Rh1 0.500 0.500 0.500

Entry 5:
A relaxed structure of LaAl4IrRh2, computed with PBE.

Values from the calculation:
For the calculated formation energy, the calculation gives -862.1 meV per atom. For the mass density, the calculation gives 7.56 Mg/m³. The total moment comes out at 0.000 μB/atom.

Lattice parameters (Å, degrees): 9.458 9.458 9.458 25.84 25.84 25.84
Fractional positions:
La1 0.000 0.000 0.000
Al1 0.134 0.134 0.134
Al2 0.408 0.408 0.408
Al3 0.592 0.592 0.592
Al4 0.866 0.866 0.866
Ir1 0.500 0.500 0.500
Rh1 0.231 0.231 0.231
Rh2 0.769 0.769 0.769

Entry 6:
A relaxed structure of LaAl4IrRu2, computed with PBE.

Values from the calculation:
For the calculated formation energy, the calculation gives -629.3 meV per atom. For the mass density, the calculation gives 7.54 Mg/m³. The total moment comes out at 0.000 μB/atom.

Lattice parameters (Å, degrees): 9.359 9.359 9.359 26.23 26.23 26.23
Fractional positions:
La1 0.000 0.000 0.000
Al1 0.133 0.133 0.133
Al2 0.408 0.408 0.408
Al3 0.592 0.592 0.592
Al4 0.867 0.867 0.867
Ir1 0.500 0.500 0.500
Ru1 0.233 0.233 0.233
Ru2 0.767 0.767 0.767

Entry 7:
A relaxed structure of LaAlSbIr2, computed with PBE.

Values from the calculation:
For the mass density, the calculation gives 8.19 Mg/m³. The value obtained for the formation energy (no corrections) is 696 kJ/mol of formula units. The total moment comes out at 0.000 μB/atom.

Lattice parameters (Å, degrees): 4.977 4.977 5.499 90.00 90.00 90.00
Fractional positions:
La1 0.000 0.000 0.000
Al1 0.000 0.000 0.500
Sb1 0.500 0.500 0.500
Ir1 0.000 0.500 0.000
Ir2 0.500 0.000 0.000

Entry 8:
A relaxed structure of LaAlSb2Ir, computed with PBE.

Values from the calculation:
For the mass density, the calculation gives 6.87 Mg/m³. The value obtained for the formation energy (no corrections) is -9 kJ/mol of formula units. The total moment comes out at 0.000 μB/atom.

Lattice parameters (Å, degrees): 5.204 5.204 5.371 90.00 90.00 90.00
Fractional positions:
La1 0.000 0.000 0.000
Al1 0.500 0.500 0.000
Sb1 0.000 0.500 0.500
Sb2 0.500 0.000 0.500
Ir1 0.000 0.000 0.500

Entry 9:
A relaxed structure of LaScAlIr2, computed with PBE.

Values from the calculation:
For the calculated formation energy, the calculation gives -868.7 meV per atom. For the mass density, the calculation gives 9.62 Mg/m³. The total moment comes out at 0.000 μB/atom.

Lattice parameters (Å, degrees): 6.589 6.589 6.589 143.05 143.05 53.25
Fractional positions:
La1 0.000 0.000 0.000
Sc1 0.750 0.250 0.500
Al1 0.250 0.750 0.500
Ir1 0.387 0.387 0.000
Ir2 0.613 0.613 0.000

Entry 10:
A relaxed structure of La2AlSi4Ir3, computed with PBE.

Values from the calculation:
For the mass density, the calculation gives 9.09 Mg/m³. The value obtained for the formation energy (no corrections) is -880 kJ/mol of formula units. The total moment comes out at 0.000 μB/atom.

Lattice parameters (Å, degrees): 4.216 4.216 10.217 90.00 90.00 90.00
Fractional positions:
La1 0.000 0.500 0.242
La2 0.500 0.000 0.758
Al1 0.000 0.000 0.500
Si1 0.000 0.000 0.000
Si2 0.000 0.500 0.642
Si3 0.500 0.000 0.358
Si4 0.500 0.500 0.000
Ir1 0.000 0.500 0.880
Ir2 0.500 0.000 0.120
Ir3 0.500 0.500 0.500

Entry 11:
A relaxed structure of La2AlSi3Ir4, computed with PBE.

Values from the calculation:
For the mass density, the calculation gives 10.67 Mg/m³. The value obtained for the formation energy (no corrections) is -980 kJ/mol of formula units. The total moment comes out at 0.000 μB/atom.

Lattice parameters (Å, degrees): 4.202 4.202 10.205 90.00 90.00 90.00
Fractional positions:
La1 0.000 0.500 0.247
La2 0.500 0.000 0.753
Al1 0.500 0.500 0.000
Si1 0.000 0.000 0.000
Si2 0.000 0.500 0.626
Si3 0.500 0.000 0.374
Ir1 0.000 0.000 0.500
Ir2 0.000 0.500 0.866
Ir3 0.500 0.000 0.134
Ir4 0.500 0.500 0.500

Entry 12:
A relaxed structure of LaAl2SiIr, computed with PBE.

Values from the calculation:
For the mass density, the calculation gives 7.32 Mg/m³. The value obtained for the formation energy (no corrections) is -354 kJ/mol of formula units. The total moment comes out at 0.000 μB/atom.

Lattice parameters (Å, degrees): 6.272 6.272 6.272 142.36 141.21 55.16
Fractional positions:
La1 0.000 0.000 0.000
Al1 0.378 0.378 0.000
Al2 0.743 0.243 0.500
Si1 0.610 0.610 0.000
Ir1 0.238 0.738 0.500